1.
TbAl4IrRh2 PBE relaxed; calculated total energy = -6.26 eV/atom; Fermi-level density of states = 2.888 states/eV per cell; ΔE_f = -83.2 kJ/mol of atoms; total magnetic moment = 0.000 μB per cell
1.0
4.2101 0.0000 0.0000
2.1050 3.6460 0.0000
2.1050 1.2153 8.7264
Tb Al Ir Rh
1 4 1 2
Direct
0.0000 0.0000 0.0000
0.4034 0.4034 0.7897
0.8675 0.8675 0.3976
0.1325 0.1325 0.6024
0.5966 0.5966 0.2103
0.5000 0.5000 0.5000
0.7648 0.7648 0.7057
0.2352 0.2352 0.2943

=====

2.
TbAlIrRh PBE relaxed; calculated total energy = -6.93 eV/atom; Fermi-level density of states = 1.184 states/eV per cell; ΔE_f = -75.9 kJ/mol of atoms; total magnetic moment = 0.000 μB per cell
1.0
4.5883 0.0000 0.0000
2.2942 3.9736 0.0000
2.2942 1.3245 3.7464
Rh Ir Tb Al
1 1 1 1
Direct
0.5000 0.5000 0.5000
0.0000 0.0000 0.0000
0.2500 0.2500 0.2500
0.7500 0.7500 0.7500

=====

3.
TiAl4Ir2Rh PBE relaxed; calculated total energy = -6.82 eV/atom; Fermi-level density of states = 4.696 states/eV per cell; ΔE_f = -80.0 kJ/mol of atoms; total magnetic moment = 1.686 μB per cell
1.0
-3.9912 0.5254 -1.5424
-2.0403 -3.3048 -1.8708
-4.6813 -2.8240 5.1272
Ti Al Ir Rh
1 4 2 1
Direct
0.0000 0.0000 0.0000
0.3792 0.3792 0.8623
0.8708 0.8708 0.3877
0.1292 0.1292 0.6123
0.6208 0.6208 0.1377
0.7469 0.7469 0.7594
0.2531 0.2531 0.2406
0.5000 0.5000 0.5000

=====

4.
TmAlIrRh PBE relaxed; calculated total energy = -7.01 eV/atom; Fermi-level density of states = 0.931 states/eV per cell; ΔE_f = -87.3 kJ/mol of atoms; total magnetic moment = 0.000 μB per cell
1.0
-3.4152 -0.4794 2.9449
-0.3633 -3.7974 2.4522
0.8210 0.0931 4.4590
Rh Ir Tm Al
1 1 1 1
Direct
0.5000 0.5000 0.5000
0.0000 0.0000 0.0000
0.7500 0.7500 0.7500
0.2500 0.2500 0.2500

=====

5.
AlVIrRh2 PBE relaxed; calculated total energy = -5.98 eV/atom; Fermi-level density of states = 16.181 states/eV per cell; ΔE_f = 125.5 kJ/mol of atoms; total magnetic moment = 0.025 μB per cell
1.0
4.7330 0.0000 0.0000
0.0000 4.5224 0.0000
0.0000 0.0000 4.7330
Ir Rh Al V
1 2 1 1
Direct
0.0000 0.0000 0.0000
0.0000 0.0000 0.5000
0.5000 0.0000 0.0000
0.0000 0.5000 0.0000
0.5000 0.5000 0.5000

=====

6.
AlZnIrRh PBE relaxed; calculated total energy = -6.00 eV/atom; Fermi-level density of states = 1.186 states/eV per cell; ΔE_f = -67.1 kJ/mol of atoms; total magnetic moment = 0.000 μB per cell
1.0
-3.1870 2.7612 -0.6598
-4.0114 -1.4150 -0.3499
-2.8191 0.7870 3.1063
Zn Ir Rh Al
1 1 1 1
Direct
0.2500 0.2500 0.2500
0.0000 0.0000 0.0000
0.5000 0.5000 0.5000
0.7500 0.7500 0.7500